Entry 1:
{
  "formula": "Ti4Bi",
  "functional": "PBE-GGA",
  "state": "optimized geometry",
  "final_energy_ry_per_atom": -0.510,
  "crystal_system": "orthorhombic",
  "sg": "Immm (71)",
  "de_polymorph_mev_per_atom": 120,
  "magnetic_moment_mub_per_cell": 0.00,
  "lattice_angstrom": [[4.709, -0.008, 0.000], [0.011, 6.734, 0.000], [0.000, 0.000, 6.008]],
  "species": ["Ti", "Bi", "Ti", "Ti", "Ti", "Ti", "Bi", "Ti", "Ti", "Ti"],
  "fractional_positions": [[0.000, 0.816, 0.500], [0.000, 0.000, 0.000], [0.000, 0.184, 0.500], [0.500, 0.684, 0.000], [0.500, 0.000, 0.292], [0.000, 0.500, 0.208], [0.500, 0.500, 0.500], [0.000, 0.500, 0.792], [0.500, 0.316, 0.000], [0.500, 0.000, 0.708]]
}

Entry 2:
{
  "formula": "Ti4Bi",
  "functional": "PBE-GGA",
  "state": "optimized geometry",
  "final_energy_ry_per_atom": -0.428,
  "crystal_system": "cubic",
  "sg": "Pm-3m (221)",
  "de_polymorph_mev_per_atom": 1234,
  "magnetic_moment_mub_per_cell": 1.36,
  "lattice_angstrom": [[-4.396, 0.520, -2.492], [2.033, -2.278, -4.060], [-1.533, -4.511, 1.763]],
  "species": ["Ti", "Ti", "Ti", "Bi", "Ti"],
  "fractional_positions": [[0.000, 0.500, 0.500], [0.500, 0.500, 0.000], [0.500, 0.000, 0.500], [0.500, 0.500, 0.500], [0.000, 0.000, 0.000]]
}

Entry 3:
{
  "formula": "Ti2Bi",
  "functional": "PBE-GGA",
  "state": "optimized geometry",
  "final_energy_ry_per_atom": -0.492,
  "crystal_system": "tetragonal",
  "sg": "I4/mmm (139)",
  "magnetic_moment_mub_per_cell": 0.37,
  "lattice_angstrom": [[-2.668, -2.135, -1.110], [0.807, -2.356, 2.591], [-1.942, 4.367, 2.084]],
  "species": ["Ti", "Bi", "Ti"],
  "fractional_positions": [[0.329, 0.329, 0.658], [0.000, 0.000, 0.000], [0.671, 0.671, 0.342]]
}

Entry 4:
{
  "formula": "TiBi4",
  "functional": "PBE-GGA",
  "state": "optimized geometry",
  "final_energy_ry_per_atom": -0.347,
  "crystal_system": "orthorhombic",
  "sg": "Ibam (72)",
  "de_polymorph_mev_per_atom": 0,
  "magnetic_moment_mub_per_cell": 0.00,
  "lattice_angstrom": [[5.576, 0.000, -1.959], [-0.999, 6.727, -2.843], [-0.241, -0.596, 8.230]],
  "species": ["Ti", "Ti", "Bi", "Bi", "Bi", "Bi", "Bi", "Bi", "Bi", "Bi"],
  "fractional_positions": [[0.750, 0.000, 0.000], [0.250, 0.000, 0.000], [0.332, 0.989, 0.665], [0.581, 0.408, 0.162], [0.419, 0.592, 0.838], [0.832, 0.676, 0.665], [0.081, 0.754, 0.162], [0.168, 0.324, 0.335], [0.668, 0.011, 0.335], [0.919, 0.246, 0.838]]
}

Entry 5:
{
  "formula": "Ti4Bi",
  "functional": "PBE-GGA",
  "state": "optimized geometry",
  "final_energy_ry_per_atom": -0.519,
  "crystal_system": "tetragonal",
  "sg": "I4_1/a (88)",
  "de_polymorph_mev_per_atom": 0,
  "magnetic_moment_mub_per_cell": 0.00,
  "lattice_angstrom": [[-0.291, 5.334, -2.274], [-4.740, -1.530, -2.983], [-0.985, -0.113, 7.273]],
  "species": ["Bi", "Ti", "Bi", "Ti", "Ti", "Ti", "Ti", "Ti", "Ti", "Ti"],
  "fractional_positions": [[0.750, 0.250, 0.500], [0.616, 0.561, 0.846], [0.000, 0.000, 0.000], [0.229, 0.285, 0.846], [0.311, 0.479, 0.346], [0.715, 0.384, 0.154], [0.521, 0.965, 0.654], [0.439, 0.771, 0.154], [0.134, 0.689, 0.654], [0.035, 0.866, 0.346]]
}

Entry 6:
{
  "formula": "Ti2Bi",
  "functional": "PBE-GGA",
  "state": "optimized geometry",
  "final_energy_ry_per_atom": -0.474,
  "crystal_system": "cubic",
  "sg": "Fd-3m (227)",
  "magnetic_moment_mub_per_cell": 0.00,
  "lattice_angstrom": [[-0.822, 2.558, 4.876], [1.087, -2.670, 4.762], [4.357, 1.522, 3.114]],
  "species": ["Bi", "Ti", "Ti", "Ti", "Ti", "Bi"],
  "fractional_positions": [[0.000, 0.000, 0.000], [0.625, 0.625, 0.625], [0.125, 0.625, 0.625], [0.625, 0.125, 0.625], [0.625, 0.625, 0.125], [0.250, 0.250, 0.250]]
}

Entry 7:
{
  "formula": "TiBi3",
  "functional": "PBE-GGA",
  "state": "optimized geometry",
  "final_energy_ry_per_atom": -0.355,
  "crystal_system": "orthorhombic",
  "sg": "Imm2 (44)",
  "magnetic_moment_mub_per_cell": 0.00,
  "lattice_angstrom": [[-0.174, 3.142, 2.041], [-3.944, -2.769, 3.925], [5.711, -1.682, -0.369]],
  "species": ["Bi", "Bi", "Ti", "Bi"],
  "fractional_positions": [[0.500, 0.429, 0.000], [0.698, 0.024, 0.396], [0.000, 0.085, 0.000], [0.302, 0.628, 0.604]]
}

Entry 8:
{
  "formula": "Ti5Bi4",
  "functional": "PBE-GGA",
  "state": "optimized geometry",
  "final_energy_ry_per_atom": -0.461,
  "crystal_system": "tetragonal",
  "sg": "I4/m (87)",
  "magnetic_moment_mub_per_cell": 2.75,
  "lattice_angstrom": [[-0.881, 3.008, -2.125], [0.408, -2.610, -7.238], [-7.655, -0.407, -0.780]],
  "species": ["Ti", "Bi", "Ti", "Ti", "Ti", "Bi", "Bi", "Bi", "Ti"],
  "fractional_positions": [[0.000, 0.000, 0.000], [0.287, 0.652, 0.774], [0.681, 0.935, 0.704], [0.319, 0.065, 0.296], [0.384, 0.296, 0.935], [0.939, 0.774, 0.348], [0.061, 0.226, 0.652], [0.713, 0.348, 0.226], [0.616, 0.704, 0.065]]
}

Entry 9:
{
  "formula": "TiBi4",
  "functional": "PBE-GGA",
  "state": "optimized geometry",
  "final_energy_ry_per_atom": -0.323,
  "crystal_system": "cubic",
  "sg": "Pm-3m (221)",
  "de_polymorph_mev_per_atom": 326,
  "magnetic_moment_mub_per_cell": 0.00,
  "lattice_angstrom": [[5.446, 0.000, 0.000], [0.000, 5.446, 0.000], [0.000, 0.000, 5.446]],
  "species": ["Bi", "Bi", "Bi", "Bi", "Ti"],
  "fractional_positions": [[0.500, 0.500, 0.000], [0.000, 0.000, 0.000], [0.500, 0.000, 0.500], [0.000, 0.500, 0.500], [0.500, 0.500, 0.500]]
}

Entry 10:
{
  "formula": "TiBi",
  "functional": "PBE-GGA",
  "state": "optimized geometry",
  "final_energy_ry_per_atom": -0.430,
  "crystal_system": "tetragonal",
  "sg": "I4/m (87)",
  "magnetic_moment_mub_per_cell": 0.00,
  "lattice_angstrom": [[9.472, 0.000, 0.000], [0.000, 9.472, 0.000], [0.000, 0.000, 5.230]],
  "species": ["Bi", "Bi", "Ti", "Ti", "Ti", "Ti", "Bi", "Bi", "Ti", "Bi", "Ti", "Bi", "Ti", "Bi", "Bi", "Ti"],
  "fractional_positions": [[0.131, 0.254, 0.500], [0.754, 0.369, 0.000], [0.892, 0.411, 0.500], [0.089, 0.392, 0.000], [0.911, 0.608, 0.000], [0.589, 0.892, 0.500], [0.254, 0.869, 0.500], [0.746, 0.131, 0.500], [0.411, 0.108, 0.500], [0.369, 0.246, 0.000], [0.392, 0.911, 0.000], [0.246, 0.631, 0.000], [0.108, 0.589, 0.500], [0.631, 0.754, 0.000], [0.869, 0.746, 0.500], [0.608, 0.089, 0.000]]
}

Entry 11:
{
  "formula": "TiBi",
  "functional": "PBE-GGA",
  "state": "optimized geometry",
  "final_energy_ry_per_atom": -0.427,
  "crystal_system": "orthorhombic",
  "sg": "Pmmn (59)",
  "magnetic_moment_mub_per_cell": 0.01,
  "lattice_angstrom": [[-1.372, 2.828, -0.612], [-1.735, -2.266, -6.579], [-11.210, -4.464, 4.494]],
  "species": ["Bi", "Ti", "Ti", "Ti", "Ti", "Bi", "Bi", "Bi", "Ti", "Ti", "Bi", "Bi"],
  "fractional_positions": [[0.000, 0.716, 0.775], [0.500, 0.005, 0.111], [0.500, 0.005, 0.889], [0.000, 0.995, 0.389], [0.000, 0.995, 0.611], [0.500, 0.368, 0.000], [0.500, 0.284, 0.275], [0.500, 0.284, 0.725], [0.500, 0.267, 0.500], [0.000, 0.733, 0.000], [0.000, 0.632, 0.500], [0.000, 0.716, 0.225]]
}

Entry 12:
{
  "formula": "TiBi",
  "functional": "PBE-GGA",
  "state": "optimized geometry",
  "final_energy_ry_per_atom": -0.433,
  "crystal_system": "orthorhombic",
  "sg": "Pbca (61)",
  "magnetic_moment_mub_per_cell": 2.65,
  "lattice_angstrom": [[-4.126, 0.805, 3.905], [3.898, -0.408, 4.203], [1.687, 11.037, -0.493]],
  "species": ["Ti", "Bi", "Bi", "Ti", "Bi", "Ti", "Bi", "Ti", "Bi", "Bi", "Bi", "Ti", "Bi", "Ti", "Ti", "Ti"],
  "fractional_positions": [[0.381, 0.372, 0.427], [0.597, 0.600, 0.851], [0.597, 0.900, 0.351], [0.881, 0.372, 0.073], [0.403, 0.400, 0.149], [0.881, 0.128, 0.573], [0.097, 0.600, 0.649], [0.119, 0.872, 0.427], [0.403, 0.100, 0.649], [0.097, 0.900, 0.149], [0.903, 0.400, 0.351], [0.619, 0.628, 0.573], [0.903, 0.100, 0.851], [0.619, 0.872, 0.073], [0.119, 0.628, 0.927], [0.381, 0.128, 0.927]]
}

Entry 13:
{
  "formula": "Ti5TlBi2",
  "functional": "PBE-GGA",
  "state": "optimized geometry",
  "final_energy_ry_per_atom": -0.419,
  "crystal_system": "orthorhombic",
  "sg": "Cmcm (63)",
  "magnetic_moment_mub_per_cell": 1.87,
  "lattice_angstrom": [[-2.260, -1.482, 3.455], [6.711, -0.056, 1.581], [-1.102, 13.720, 5.164]],
  "species": ["Ti", "Ti", "Tl", "Tl", "Ti", "Ti", "Ti", "Ti", "Bi", "Ti", "Bi", "Bi", "Ti", "Ti", "Bi", "Ti"],
  "fractional_positions": [[0.298, 0.596, 0.492], [0.902, 0.804, 0.936], [0.915, 0.831, 0.750], [0.085, 0.169, 0.250], [0.098, 0.196, 0.064], [0.298, 0.596, 0.008], [0.702, 0.404, 0.508], [0.717, 0.434, 0.250], [0.883, 0.766, 0.126], [0.098, 0.196, 0.436], [0.883, 0.766, 0.374], [0.117, 0.234, 0.874], [0.283, 0.566, 0.750], [0.902, 0.804, 0.564], [0.117, 0.234, 0.626], [0.702, 0.404, 0.992]]
}

Entry 14:
{
  "formula": "Ti6TlBi",
  "functional": "PBE-GGA",
  "state": "optimized geometry",
  "final_energy_ry_per_atom": -0.496,
  "crystal_system": "orthorhombic",
  "sg": "Amm2 (38)",
  "magnetic_moment_mub_per_cell": 0.00,
  "lattice_angstrom": [[-3.831, 0.229, 2.900], [2.229, -4.396, 3.292], [1.393, 5.589, 1.397]],
  "species": ["Ti", "Ti", "Tl", "Bi", "Ti", "Ti", "Ti", "Ti"],
  "fractional_positions": [[0.000, 0.079, 0.409], [0.000, 0.591, 0.921], [0.000, 0.084, 0.916], [0.500, 0.416, 0.584], [0.500, 0.421, 0.091], [0.500, 0.909, 0.579], [0.000, 0.596, 0.404], [0.500, 0.903, 0.097]]
}

Entry 15:
{
  "formula": "TiTlBi3",
  "functional": "PBE-GGA",
  "state": "optimized geometry",
  "final_energy_ry_per_atom": -0.314,
  "crystal_system": "cubic",
  "sg": "Pm-3m (221)",
  "de_polymorph_mev_per_atom": 0,
  "magnetic_moment_mub_per_cell": 0.00,
  "lattice_angstrom": [[-4.892, -1.091, -2.229], [-1.464, -2.708, 4.540], [-2.004, 4.644, 2.124]],
  "species": ["Tl", "Bi", "Bi", "Ti", "Bi"],
  "fractional_positions": [[0.500, 0.500, 0.500], [0.000, 0.000, 0.500], [0.500, 0.000, 0.000], [0.000, 0.000, 0.000], [0.000, 0.500, 0.000]]
}

Entry 16:
{
  "formula": "Ti9TlBi2",
  "functional": "PBE-GGA",
  "state": "optimized geometry",
  "final_energy_ry_per_atom": -0.499,
  "crystal_system": "tetragonal",
  "sg": "P4/mmm (123)",
  "magnetic_moment_mub_per_cell": 0.00,
  "lattice_angstrom": [[-1.147, 4.000, -0.658], [-0.659, -0.859, -4.071], [-11.963, -3.007, 2.572]],
  "species": ["Ti", "Ti", "Bi", "Ti", "Ti", "Ti", "Ti", "Bi", "Ti", "Ti", "Ti", "Tl"],
  "fractional_positions": [[0.000, 0.500, 0.165], [0.500, 0.500, 0.671], [0.000, 0.000, 0.334], [0.500, 0.500, 0.329], [0.500, 0.000, 0.500], [0.500, 0.500, 0.000], [0.500, 0.000, 0.835], [0.000, 0.000, 0.666], [0.000, 0.500, 0.500], [0.500, 0.000, 0.165], [0.000, 0.500, 0.835], [0.000, 0.000, 0.000]]
}

Entry 17:
{
  "formula": "Ti12Tl3Bi",
  "functional": "PBE-GGA",
  "state": "optimized geometry",
  "final_energy_ry_per_atom": -0.488,
  "crystal_system": "orthorhombic",
  "sg": "Pmmm (47)",
  "magnetic_moment_mub_per_cell": 0.03,
  "lattice_angstrom": [[5.269, 0.000, 0.000], [0.000, 5.271, 0.000], [0.000, 0.000, 10.543]],
  "species": ["Ti", "Ti", "Ti", "Ti", "Tl", "Tl", "Ti", "Ti", "Tl", "Ti", "Ti", "Bi", "Ti", "Ti", "Ti", "Ti"],
  "fractional_positions": [[0.250, 0.500, 0.000], [0.750, 0.500, 0.000], [0.500, 0.000, 0.371], [0.746, 0.500, 0.500], [0.000, 0.000, 0.000], [0.500, 0.500, 0.250], [0.500, 0.000, 0.878], [0.000, 0.749, 0.248], [0.500, 0.500, 0.750], [0.000, 0.251, 0.752], [0.254, 0.500, 0.500], [0.000, 0.000, 0.500], [0.500, 0.000, 0.122], [0.500, 0.000, 0.629], [0.000, 0.251, 0.248], [0.000, 0.749, 0.752]]
}

Entry 18:
{
  "formula": "Ti4TlBi",
  "functional": "PBE-GGA",
  "state": "optimized geometry",
  "final_energy_ry_per_atom": -0.462,
  "crystal_system": "monoclinic",
  "sg": "P2_1/m (11)",
  "de_polymorph_mev_per_atom": 73,
  "magnetic_moment_mub_per_cell": 1.25,
  "lattice_angstrom": [[5.167, 0.000, -1.013], [0.000, 5.847, 0.000], [-2.746, 0.000, 8.343]],
  "species": ["Ti", "Ti", "Bi", "Tl", "Tl", "Ti", "Ti", "Ti", "Ti", "Bi", "Ti", "Ti"],
  "fractional_positions": [[0.518, 0.001, 0.672], [0.482, 0.501, 0.328], [0.962, 0.750, 0.619], [0.500, 0.500, 0.000], [0.500, 0.000, 0.000], [0.025, 0.250, 0.034], [0.998, 0.750, 0.291], [0.482, 0.999, 0.328], [0.518, 0.499, 0.672], [0.038, 0.250, 0.381], [0.002, 0.250, 0.709], [0.975, 0.750, 0.966]]
}

Entry 19:
{
  "formula": "Ti2TlBi",
  "functional": "PBE-GGA",
  "state": "optimized geometry",
  "final_energy_ry_per_atom": -0.369,
  "crystal_system": "tetragonal",
  "sg": "I-42d (122)",
  "de_polymorph_mev_per_atom": 288,
  "magnetic_moment_mub_per_cell": 6.49,
  "lattice_angstrom": [[4.450, 0.000, 0.000], [0.000, 4.450, 0.000], [2.225, 2.225, 10.064]],
  "species": ["Ti", "Bi", "Tl", "Tl", "Ti", "Bi", "Ti", "Ti"],
  "fractional_positions": [[0.143, 0.625, 0.250], [0.750, 0.250, 0.500], [0.500, 0.500, 0.000], [0.250, 0.750, 0.500], [0.875, 0.857, 0.750], [0.000, 0.000, 0.000], [0.375, 0.393, 0.750], [0.607, 0.125, 0.250]]
}

Entry 20:
{
  "formula": "Ti2TlBi",
  "functional": "PBE-GGA",
  "state": "optimized geometry",
  "final_energy_ry_per_atom": -0.390,
  "crystal_system": "cubic",
  "sg": "Fm-3m (225)",
  "de_polymorph_mev_per_atom": 0,
  "magnetic_moment_mub_per_cell": 0.00,
  "lattice_angstrom": [[0.000, 3.486, 3.486], [3.486, 0.000, 3.486], [3.486, 3.486, 0.000]],
  "species": ["Tl", "Bi", "Ti", "Ti"],
  "fractional_positions": [[0.000, 0.000, 0.000], [0.500, 0.500, 0.500], [0.750, 0.750, 0.750], [0.250, 0.250, 0.250]]
}

Number 1: energy of formation 0.16 eV per atom, V 191 Å³ per cell. Number 2: energy of formation 1.27 eV per atom, V 131 Å³ per cell. Number 3: energy of formation -0.13 eV per atom, V 59 Å³ per cell. Number 4: energy of formation -0.04 eV per atom, V 295 Å³ per cell. Number 5: energy of formation 0.03 eV per atom, V 205 Å³ per cell. Number 6: energy of formation 0.10 eV per atom, V 122 Å³ per cell. Number 7: energy of formation 0.05 eV per atom, V 110 Å³ per cell. Number 8: energy of formation -0.16 eV per atom, V 211 Å³ per cell. Number 9: energy of formation 0.28 eV per atom, V 162 Å³ per cell. Number 10: energy of formation 0.04 eV per atom, V 469 Å³ per cell. Number 11: energy of formation 0.08 eV per atom, V 296 Å³ per cell. Number 12: energy of formation -0.01 eV per atom, V 368 Å³ per cell. Number 13: energy of formation 0.50 eV per atom, V 421 Å³ per cell. Number 14: energy of formation -0.05 eV per atom, V 148 Å³ per cell. Number 15: energy of formation 0.11 eV per atom, V 165 Å³ per cell. Number 16: energy of formation -0.03 eV per atom, V 224 Å³ per cell. Number 17: energy of formation -0.03 eV per atom, V 293 Å³ per cell. Number 18: energy of formation 0.02 eV per atom, V 236 Å³ per cell. Number 19: energy of formation 0.49 eV per atom, V 199 Å³ per cell. Number 20: energy of formation 0.20 eV per atom, V 85 Å³ per cell.